(1)
DFT (GGA-PBE) results for a relaxed structure of Ti2GaRh.

Values from the calculation:
ΔH_f (0 K)	-2.21	eV/f.u.
volume	15.43	Å³ per atom

Lattice parameters (Å, degrees): 3.273 3.273 5.761 90.00 90.00 90.00
Space group P4/mmm (No. 123)
Inequivalent atoms, fractional coordinates:
Ti 0.000 0.000 0.246
Ga 0.500 0.500 0.500
Rh 0.500 0.500 0.000



(2)
DFT (GGA-PBE) results for a relaxed structure of ThAl6Cu6.

Values from the calculation:
ΔH_f (0 K)	-4.23	eV/f.u.
volume	15.10	Å³ per atom

Lattice parameters (Å, degrees): 5.098 8.705 8.846 90.00 90.00 90.00
Space group Immm (No. 71)
Inequivalent atoms, fractional coordinates:
Th 0.000 0.000 0.000
Al 0.000 0.000 0.351
Al 0.000 0.349 0.000
Al 0.000 0.500 0.290
Cu 0.000 0.269 0.500
Cu 0.250 0.250 0.250



(3)
DFT (GGA-PBE) results for a relaxed structure of Rb2HoScSe4.

Values from the calculation:
volume	29.48	Å³ per atom
formation energy without anion corrections	-1.6552	eV per atom

Lattice parameters (Å, degrees): 7.163 4.139 8.306 90.00 106.69 90.00
Space group P2/m (No. 10)
Inequivalent atoms, fractional coordinates:
Rb 0.000 0.000 0.000
Rb 0.500 0.500 0.000
Ho 0.000 0.500 0.500
Sc 0.500 0.000 0.500
Se 0.240 0.000 0.693
Se 0.280 0.500 0.312



(4)
DFT (GGA-PBE) results for a relaxed structure of Ta2Br.

Values from the calculation:
volume	19.84	Å³ per atom
formation energy without anion corrections	1.4234	eV per atom
energy above the most stable polymorph in this dataset	1.398	eV per atom

Lattice parameters (Å, degrees): 6.198 6.198 6.198 90.00 90.00 90.00
Space group Fm-3m (No. 225)
Inequivalent atoms, fractional coordinates:
Ta 0.250 0.250 0.250
Br 0.000 0.000 0.000



(5)
DFT (GGA-PBE) results for a relaxed structure of La6Dy12Tl.

Values from the calculation:
ΔH_f (0 K)	1.41	eV/f.u.
volume	33.05	Å³ per atom

Lattice parameters (Å, degrees): 12.0519 12.0519 14.9743 90.00 90.00 120.00
Space group R-3 (No. 148, hexagonal axes)
Inequivalent atoms, fractional coordinates:
La 0.0118 0.5923 0.1847
Dy 0.0060 0.8313 0.3139
Dy 0.0483 0.1949 0.9166
Tl 0.0000 0.0000 0.5000



(6)
DFT (GGA-PBE) results for a relaxed structure of Ca2BeCu.

Values from the calculation:
ΔH_f (0 K)	2.10	eV/f.u.
volume	25.31	Å³ per atom

Lattice parameters (Å, degrees): 7.779 7.779 6.693 90.00 90.00 90.00
Space group I-42d (No. 122)
Inequivalent atoms, fractional coordinates:
Ca 0.245 0.250 0.125
Be 0.000 0.000 0.500
Cu 0.000 0.000 0.000



(7)
DFT (GGA-PBE) results for a relaxed structure of Ce2NpCr2N6.

Values from the calculation:
volume	14.21	Å³ per atom
formation energy without anion corrections	-0.8031	eV per atom

Lattice parameters (Å, degrees): 5.6117 5.6117 17.1891 90.00 90.00 120.00
Space group R-3m (No. 166, hexagonal axes)
Inequivalent atoms, fractional coordinates:
Ce 0.0000 0.0000 0.2081
Np 0.0000 0.0000 0.0000
Cr 0.0000 0.0000 0.4007
N 0.0104 0.5052 0.7599



(8)
DFT (GGA-PBE) results for a relaxed structure of ReTcSb2.

Values from the calculation:
volume	18.84	Å³ per atom
formation energy without anion corrections	0.7923	eV per atom
energy above the most stable polymorph in this dataset	0.652	eV per atom

Lattice parameters (Å, degrees): 3.139 4.291 5.599 90.00 92.16 90.00
Space group P2/m (No. 10)
Inequivalent atoms, fractional coordinates:
Re 0.000 0.000 0.000
Tc 0.500 0.000 0.500
Sb 0.247 0.500 0.749



Question: Look up the volume of the seventh one.
Answer: 14.21 Å³ per atom



Question: What is the formula in the third record?
Answer: Rb2HoScSe4



Question: Among the records above, which one has the highest volume?
Answer: La6Dy12Tl